Record 1
A plane-wave DFT calculation with PBE-GGA was carried out for a relaxed Li2VFe crystal.

Energy of formation from the pure elements   252 kJ/mol of formula units
E   -75.2 eV/cell
Excess energy over the best structure of this formula in the dataset   0 meV per atom

The structure in CIF format:
```
data_Li2VFe
_cell_length_a 6.045
_cell_length_b 6.045
_cell_length_c 6.045
_cell_angle_alpha 90.00
_cell_angle_beta 90.00
_cell_angle_gamma 90.00
_space_group_name_H-M_alt 'F m -3 m'
_space_group_IT_number 225
_space_group_name_Hall '-F 4 2 3'
loop_
_atom_site_label
_atom_site_fract_x
_atom_site_fract_y
_atom_site_fract_z
Li1 0.250 0.250 0.250
V1 0.000 0.000 0.000
Fe1 0.000 0.000 0.500
```

***

Record 2
A plane-wave DFT calculation with PBE-GGA was carried out for a relaxed Li4VFe2 crystal.

Energy of formation from the pure elements   686 kJ/mol of formula units
E   -53.2 eV/cell

The structure in CIF format:
```
data_Li4VFe2
_cell_length_a 4.623
_cell_length_b 4.623
_cell_length_c 12.972
_cell_angle_alpha 90.00
_cell_angle_beta 90.00
_cell_angle_gamma 90.00
_space_group_name_H-M_alt 'I 4/m m m'
_space_group_IT_number 139
_space_group_name_Hall '-I 4 2'
loop_
_atom_site_label
_atom_site_fract_x
_atom_site_fract_y
_atom_site_fract_z
Li1 0.000 0.000 0.208
Li2 0.000 0.500 0.000
V1 0.000 0.000 0.000
Fe1 0.000 0.000 0.417
```

***

Record 3
A plane-wave DFT calculation with PBE-GGA was carried out for a relaxed LiV3Fe crystal.

Energy of formation from the pure elements   618 kJ/mol of formula units
E   -31.3 eV/cell
Excess energy over the best structure of this formula in the dataset   501 meV per atom

The structure in CIF format:
```
data_LiV3Fe
_cell_length_a 4.062
_cell_length_b 4.062
_cell_length_c 4.062
_cell_angle_alpha 90.00
_cell_angle_beta 90.00
_cell_angle_gamma 90.00
_space_group_name_H-M_alt 'P m -3 m'
_space_group_IT_number 221
_space_group_name_Hall '-P 4 2 3'
loop_
_atom_site_label
_atom_site_fract_x
_atom_site_fract_y
_atom_site_fract_z
Li1 0.000 0.000 0.000
V1 0.000 0.000 0.500
Fe1 0.500 0.500 0.500
```

***

Record 4
A plane-wave DFT calculation with PBE-GGA was carried out for a relaxed LiFeW2 crystal.

Energy of formation from the pure elements   330 kJ/mol of formula units
E   -131.5 eV/cell
Excess energy over the best structure of this formula in the dataset   561 meV per atom

The structure in CIF format:
```
data_LiFeW2
_cell_length_a 6.878
_cell_length_b 6.878
_cell_length_c 5.130
_cell_angle_alpha 90.00
_cell_angle_beta 90.00
_cell_angle_gamma 90.00
_space_group_name_H-M_alt 'I -4 2 d'
_space_group_IT_number 122
_space_group_name_Hall 'I -4 2bw'
loop_
_atom_site_label
_atom_site_fract_x
_atom_site_fract_y
_atom_site_fract_z
Li1 0.000 0.000 0.000
Fe1 0.000 0.000 0.500
W1 0.208 0.250 0.625
```

***

Record 5
A plane-wave DFT calculation with PBE-GGA was carried out for a relaxed LiFe4W crystal.

Energy of formation from the pure elements   70 kJ/mol of formula units
E   -192.0 eV/cell

The structure in CIF format:
```
data_LiFe4W
_cell_length_a 6.628
_cell_length_b 6.628
_cell_length_c 6.628
_cell_angle_alpha 90.00
_cell_angle_beta 90.00
_cell_angle_gamma 90.00
_space_group_name_H-M_alt 'F -4 3 m'
_space_group_IT_number 216
_space_group_name_Hall 'F -4 2 3'
loop_
_atom_site_label
_atom_site_fract_x
_atom_site_fract_y
_atom_site_fract_z
Li1 0.000 0.000 0.000
Fe1 0.125 0.125 0.375
W1 0.250 0.250 0.750
```

***

Record 6
A plane-wave DFT calculation with PBE-GGA was carried out for a relaxed LiFe3W crystal.

Energy of formation from the pure elements   464 kJ/mol of formula units
E   -35.4 eV/cell
Excess energy over the best structure of this formula in the dataset   0 meV per atom

The structure in CIF format:
```
data_LiFe3W
_cell_length_a 3.828
_cell_length_b 3.828
_cell_length_c 3.828
_cell_angle_alpha 90.00
_cell_angle_beta 90.00
_cell_angle_gamma 90.00
_space_group_name_H-M_alt 'P m -3 m'
_space_group_IT_number 221
_space_group_name_Hall '-P 4 2 3'
loop_
_atom_site_label
_atom_site_fract_x
_atom_site_fract_y
_atom_site_fract_z
Li1 0.000 0.000 0.000
Fe1 0.000 0.000 0.500
W1 0.500 0.500 0.500
```

***

Record 7
A plane-wave DFT calculation with PBE-GGA was carried out for a relaxed LiFeW2 crystal.

Energy of formation from the pure elements   165 kJ/mol of formula units
E   -69.1 eV/cell
Excess energy over the best structure of this formula in the dataset   134 meV per atom

The structure in CIF format:
```
data_LiFeW2
_cell_length_a 2.903
_cell_length_b 4.406
_cell_length_c 8.611
_cell_angle_alpha 90.00
_cell_angle_beta 90.00
_cell_angle_gamma 90.00
_space_group_name_H-M_alt 'I m m 2'
_space_group_IT_number 44
loop_
_space_group_symop_operation_xyz
'x,y,z'
'-x,-y,z'
'-x,y,z'
'x,-y,z'
'x+1/2,y+1/2,z+1/2'
'-x+1/2,-y+1/2,z+1/2'
'-x+1/2,y+1/2,z+1/2'
'x+1/2,-y+1/2,z+1/2'
loop_
_atom_site_label
_atom_site_fract_x
_atom_site_fract_y
_atom_site_fract_z
Li1 0.000 0.000 0.000
Fe1 0.000 0.500 0.262
W1 0.000 0.000 0.536
W2 0.000 0.500 0.775
```

***

Record 8
A plane-wave DFT calculation with PBE-GGA was carried out for a relaxed LiFeW2 crystal.

Energy of formation from the pure elements   168 kJ/mol of formula units
E   -34.5 eV/cell
Excess energy over the best structure of this formula in the dataset   142 meV per atom

The structure in CIF format:
```
data_LiFeW2
_cell_length_a 2.584
_cell_length_b 4.108
_cell_length_c 5.395
_cell_angle_alpha 90.00
_cell_angle_beta 90.00
_cell_angle_gamma 90.00
_space_group_name_H-M_alt 'P m m 2'
_space_group_IT_number 25
loop_
_space_group_symop_operation_xyz
'x,y,z'
'-x,-y,z'
'-x,y,z'
'x,-y,z'
loop_
_atom_site_label
_atom_site_fract_x
_atom_site_fract_y
_atom_site_fract_z
Li1 0.000 0.000 0.000
Fe1 0.500 0.500 0.774
W1 0.000 0.000 0.517
W2 0.500 0.500 0.249
```

***

Record 9
A plane-wave DFT calculation with PBE-GGA was carried out for a relaxed LiFeW crystal.

Energy of formation from the pure elements   320 kJ/mol of formula units
E   -80.0 eV/cell
Excess energy over the best structure of this formula in the dataset   762 meV per atom

The structure in CIF format:
```
data_LiFeW
_cell_length_a 5.638
_cell_length_b 5.638
_cell_length_c 5.638
_cell_angle_alpha 90.00
_cell_angle_beta 90.00
_cell_angle_gamma 90.00
_space_group_name_H-M_alt 'F -4 3 m'
_space_group_IT_number 216
_space_group_name_Hall 'F -4 2 3'
loop_
_atom_site_label
_atom_site_fract_x
_atom_site_fract_y
_atom_site_fract_z
Li1 0.000 0.000 0.000
Fe1 0.000 0.000 0.500
W1 0.250 0.250 0.250
```

***

Record 10
A plane-wave DFT calculation with PBE-GGA was carried out for a relaxed LiFeW2 crystal.

Energy of formation from the pure elements   209 kJ/mol of formula units
E   -136.4 eV/cell
Excess energy over the best structure of this formula in the dataset   250 meV per atom

The structure in CIF format:
```
data_LiFeW2
_cell_length_a 5.968
_cell_length_b 5.968
_cell_length_c 5.968
_cell_angle_alpha 90.00
_cell_angle_beta 90.00
_cell_angle_gamma 90.00
_space_group_name_H-M_alt 'F m -3 m'
_space_group_IT_number 225
_space_group_name_Hall '-F 4 2 3'
loop_
_atom_site_label
_atom_site_fract_x
_atom_site_fract_y
_atom_site_fract_z
Li1 0.000 0.000 0.000
Fe1 0.000 0.000 0.500
W1 0.250 0.250 0.250
```

***

Record 11
A plane-wave DFT calculation with PBE-GGA was carried out for a relaxed LiFe3W crystal.

Energy of formation from the pure elements   656 kJ/mol of formula units
E   -33.5 eV/cell
Excess energy over the best structure of this formula in the dataset   399 meV per atom

The structure in CIF format:
```
data_LiFe3W
_cell_length_a 4.537
_cell_length_b 4.537
_cell_length_c 4.537
_cell_angle_alpha 90.00
_cell_angle_beta 90.00
_cell_angle_gamma 90.00
_space_group_name_H-M_alt 'P m -3 m'
_space_group_IT_number 221
_space_group_name_Hall '-P 4 2 3'
loop_
_atom_site_label
_atom_site_fract_x
_atom_site_fract_y
_atom_site_fract_z
Li1 0.000 0.000 0.000
Fe1 0.000 0.500 0.500
W1 0.500 0.500 0.500
```

***

Record 12
A plane-wave DFT calculation with PBE-GGA was carried out for a relaxed LiFeW2 crystal.

Energy of formation from the pure elements   147 kJ/mol of formula units
E   -69.5 eV/cell
Excess energy over the best structure of this formula in the dataset   88 meV per atom

The structure in CIF format:
```
data_LiFeW2
_cell_length_a 2.990
_cell_length_b 4.353
_cell_length_c 8.712
_cell_angle_alpha 90.00
_cell_angle_beta 90.00
_cell_angle_gamma 90.00
_space_group_name_H-M_alt 'I m m m'
_space_group_IT_number 71
_space_group_name_Hall '-I 2 2'
loop_
_atom_site_label
_atom_site_fract_x
_atom_site_fract_y
_atom_site_fract_z
Li1 0.000 0.000 0.000
Fe1 0.000 0.000 0.500
W1 0.000 0.500 0.237
```